1.
CaCrP2 | GGA-PBE | optimized geometry

Computed properties:
- Energy relative to the lowest polymorph listed for this composition: 207 meV per atom
- E: -24.15 eV/cell
- Calculated formation energy: -1.70 eV/f.u.

Lattice parameters (Å, degrees): 7.0622 7.0622 7.0622 154.81 152.40 37.71
Closest atoms and distances in Å follow each position.
Element x y z (fractional)
Cr: 0.2038 0.7038 0.5000  6 P 2.31-2.46
P: 0.7732 0.2732 0.5000  4 Cr 2.46
P: 0.0751 0.0751 0.0000  2 Cr 2.31
Ca: 0.4478 0.4478 0.0000  6 P 2.85-2.88, 2 Ca 3.08

2.
AlPtWAu2 | GGA-PBE | optimized geometry

Computed properties:
- E: -21.84 eV/cell
- Calculated formation energy: 7.45 eV/f.u.

Lattice parameters (Å, degrees): 4.9373 4.9233 4.9373 90.00 90.00 90.00
Closest atoms and distances in Å follow each position.
Element x y z (fractional)
Al: 0.0000 0.5000 0.0000  2 W 2.46
Au: 0.5000 0.0000 0.0000  2 W 2.47
Au: 0.0000 0.0000 0.5000  2 W 2.47
Pt: 0.5000 0.5000 0.5000  8 Au 3.49, 4 Al 3.49
W: 0.0000 0.0000 0.0000  2 Al 2.46, 4 Au 2.47

3.
La6HoTh | GGA-PBE | optimized geometry

Computed properties:
- Energy relative to the lowest polymorph listed for this composition: 114 meV per atom
- E: -40.40 eV/cell
- Calculated formation energy: 1.16 eV/f.u.

Lattice parameters (Å, degrees): 6.8131 6.7168 6.9631 91.59 60.79 92.94
Closest atoms and distances in Å follow each position.
Element x y z (fractional)
Ho: 0.0000 0.0000 0.0000  2 Th 3.36, 2 La 3.54
La: 0.5420 0.7572 0.5508  4 La 3.14-3.49
La: 0.4580 0.2428 0.4492  4 La 3.14-3.49
La: 0.9088 0.2438 0.5492  4 La 3.14-3.49
La: 0.4594 0.2732 0.9989  3 La 3.07-3.14
La: 0.0912 0.7562 0.4508  4 La 3.14-3.49
La: 0.5406 0.7268 0.0011  3 La 3.07-3.14
Th: 0.0000 0.5000 0.0000  2 Ho 3.36, 2 La 3.55

4.
NaAlCrH2 | GGA-PBE | optimized geometry

Computed properties:
- E: -16.20 eV/cell

Lattice parameters (Å, degrees): 3.8764 5.6409 3.8764 90.00 90.00 90.00
Closest atoms and distances in Å follow each position.
Element x y z (fractional)
Na: 0.0000 0.0000 0.0000  4 H 1.94
H: 0.5000 0.0000 0.0000  2 Na 1.94
Al: 0.0000 0.5000 0.0000  4 Cr 2.74, 2 Na 2.82
H: 0.0000 0.0000 0.5000  2 Na 1.94
Cr: 0.5000 0.5000 0.5000  4 Al 2.74

5.
AcPuCuN3 | GGA-PBE | optimized geometry

Computed properties:
- Energy relative to the elements, uncorrected: -0.77 eV per atom
- E: -104.25 eV/cell

Lattice parameters (Å, degrees): 3.8044 9.3620 6.5323 117.34 90.00 90.00
Closest atoms and distances in Å follow each position.
Element x y z (fractional)
N: 0.2500 0.7827 0.5296  1 Cu 1.86, 1 Pu 2.05
Ac: 0.7500 0.7065 0.7116  3 N 2.50-2.51
Cu: 0.2500 0.0061 0.6683  2 N 1.83-1.86
N: 0.2500 0.5195 0.8015  1 Pu 2.19
Pu: 0.2500 0.6654 0.1765  4 N 2.05-2.26
Ac: 0.2500 0.2935 0.2884  3 N 2.50-2.51
N: 0.2500 0.2214 0.8696  1 Cu 1.83
Pu: 0.7500 0.3346 0.8235  4 N 2.05-2.26
N: 0.7500 0.7786 0.1304  1 Cu 1.83
N: 0.7500 0.4805 0.1985  1 Pu 2.19
N: 0.7500 0.2173 0.4704  1 Cu 1.86, 1 Pu 2.05
Cu: 0.7500 0.9939 0.3317  2 N 1.83-1.86

6.
KVAgMo2 | GGA-PBE | optimized geometry

Computed properties:
- E: -28.23 eV/cell
- Calculated formation energy: 6.50 eV/f.u.

Lattice parameters (Å, degrees): 4.5801 5.4313 4.5801 90.00 90.00 90.00
Closest atoms and distances in Å follow each position.
Element x y z (fractional)
Mo: 0.5000 0.0000 0.0000  2 V 2.29
Ag: 0.0000 0.5000 0.0000  2 V 2.72
V: 0.0000 0.0000 0.0000  4 Mo 2.29
K: 0.5000 0.5000 0.5000  4 Ag 3.24, 8 Mo 3.55
Mo: 0.0000 0.0000 0.5000  2 V 2.29

7.
CuReSbTe2 | GGA-PBE | optimized geometry

Computed properties:
- Energy relative to the lowest polymorph listed for this composition: 368 meV per atom
- Energy relative to the elements, uncorrected: 1.35 eV per atom
- E: -20.18 eV/cell

Lattice parameters (Å, degrees): 5.0828 5.0828 4.9430 90.00 90.00 90.00
Closest atoms and distances in Å follow each position.
Element x y z (fractional)
Cu: 0.0000 0.0000 0.0000  2 Sb 2.47, 4 Te 2.54
Te: 0.5000 0.0000 0.0000  2 Cu 2.54
Re: 0.5000 0.5000 0.5000  8 Te 3.54, 4 Sb 3.59
Sb: 0.0000 0.0000 0.5000  2 Cu 2.47
Te: 0.0000 0.5000 0.0000  2 Cu 2.54

8.
KBaLa3 | GGA-PBE | optimized geometry

Computed properties:
- Energy relative to the lowest polymorph listed for this composition: 0 meV per atom
- E: -14.19 eV/cell
- Calculated formation energy: 3.61 eV/f.u.

Lattice parameters (Å, degrees): 6.2234 6.2234 6.2234 90.00 90.00 90.00
Closest atoms and distances in Å follow each position.
Element x y z (fractional)
La: 0.5000 0.0000 0.0000  2 Ba 3.11
K: 0.5000 0.5000 0.5000  12 La 4.40
Ba: 0.0000 0.0000 0.0000  6 La 3.11
La: 0.0000 0.5000 0.0000  2 Ba 3.11
La: 0.0000 0.0000 0.5000  2 Ba 3.11

9.
ZrVReTc | GGA-PBE | optimized geometry

Computed properties:
- E: -41.39 eV/cell
- Calculated formation energy: -0.91 eV/f.u.

Lattice parameters (Å, degrees): 4.4801 4.4801 4.4801 60.00 60.00 60.00
Closest atoms and distances in Å follow each position.
Element x y z (fractional)
Tc: 0.5000 0.5000 0.5000  4 Zr 2.74, 4 V 2.74
Zr: 0.2500 0.2500 0.2500  4 Re 2.74, 4 Tc 2.74
V: 0.7500 0.7500 0.7500  4 Tc 2.74, 4 Re 2.74
Re: 0.0000 0.0000 0.0000  4 Zr 2.74, 4 V 2.74

10.
Rb3AgC | GGA-PBE | optimized geometry

Computed properties:
- Energy relative to the lowest polymorph listed for this composition: 0 meV per atom
- E: -10.43 eV/cell
- Calculated formation energy: 4.55 eV/f.u.

Lattice parameters (Å, degrees): 6.0623 6.0623 6.0623 90.00 90.00 90.00
Closest atoms and distances in Å follow each position.
Element x y z (fractional)
Rb: 0.5000 0.0000 0.0000  2 C 3.03
C: 0.0000 0.0000 0.0000  6 Rb 3.03
Ag: 0.5000 0.5000 0.5000  12 Rb 4.29
Rb: 0.0000 0.5000 0.0000  2 C 3.03
Rb: 0.0000 0.0000 0.5000  2 C 3.03

11.
Tm2Ag5Cl12 | GGA-PBE | optimized geometry

Computed properties:
- Energy relative to the elements, uncorrected: -1.18 eV per atom
- E: -67.70 eV/cell

Lattice parameters (Å, degrees): 7.5532 7.9715 9.9833 103.38 90.00 118.28
Closest atoms and distances in Å follow each position.
Element x y z (fractional)
Cl: 0.9488 0.8976 0.1481  2 Tm 2.61
Cl: 0.4355 0.3557 0.1620  1 Tm 2.59, 2 Ag 2.63-2.81
Ag: 0.7109 0.4218 0.3823  6 Cl 2.81-2.85, 1 Ag 3.03
Cl: 0.5645 0.6443 0.8380  1 Tm 2.59, 2 Ag 2.63-2.81
Cl: 0.1128 0.7406 0.4745  4 Ag 2.55-2.85
Ag: 0.2793 0.5585 0.3107  4 Cl 2.63-2.64
Ag: 0.7207 0.4415 0.6893  4 Cl 2.63-2.64
Cl: 0.5498 0.0997 0.8494  2 Tm 2.62
Cl: 0.6278 0.7406 0.4745  4 Ag 2.55-2.85
Tm: 0.2492 0.0000 0.0000  6 Cl 2.59-2.62
Tm: 0.7508 0.0000 0.0000  6 Cl 2.59-2.62
Ag: 0.0000 0.0000 0.5000  4 Cl 2.55
Cl: 0.0798 0.6443 0.8380  1 Tm 2.59, 2 Ag 2.63-2.81
Cl: 0.0512 0.1024 0.8519  2 Tm 2.61
Ag: 0.2891 0.5782 0.6177  6 Cl 2.81-2.85, 1 Ag 3.03
Cl: 0.9202 0.3557 0.1620  1 Tm 2.59, 2 Ag 2.63-2.81
Cl: 0.8872 0.2594 0.5255  4 Ag 2.55-2.85
Cl: 0.3722 0.2594 0.5255  4 Ag 2.55-2.85
Cl: 0.4502 0.9003 0.1506  2 Tm 2.62

12.
Tb2FeAs | GGA-PBE | optimized geometry

Computed properties:
- E: -22.00 eV/cell
- Calculated formation energy: 0.38 eV/f.u.

Lattice parameters (Å, degrees): 3.8458 3.8458 8.9244 77.56 77.56 60.00
Closest atoms and distances in Å follow each position.
Element x y z (fractional)
Tb: 0.9002 0.9002 0.2994  1 Fe 2.59, 3 As 2.82
As: 0.5000 0.5000 0.5000  6 Tb 2.82
Tb: 0.0998 0.0998 0.7006  1 Fe 2.59, 3 As 2.82
Fe: 0.0000 0.0000 0.0000  2 Tb 2.59

Q: What is the E in the eleventh record?
A: -67.70 eV/cell